1.
DFT (PBE) results for crystalline Mg3Sc at its relaxed geometry.

Unit cell a=6.517 b=5.504 c=10.371 alpha=90.00 beta=90.00 gamma=90.00
Atoms (fractional coordinates):
Sc 0.377 0.087 0.250
Sc 0.877 0.413 0.750
Sc 0.623 0.913 0.750
Sc 0.123 0.587 0.250
Mg 0.379 0.409 0.750
Mg 0.627 0.260 0.998
Mg 0.373 0.740 0.002
Mg 0.879 0.091 0.250
Mg 0.127 0.240 0.498
Mg 0.121 0.909 0.750
Mg 0.127 0.240 0.002
Mg 0.373 0.740 0.498
Mg 0.621 0.591 0.250
Mg 0.873 0.760 0.502
Mg 0.873 0.760 0.998
Mg 0.627 0.260 0.502

Properties
* energy of formation: -0.006 eV/atom
* SG: Pnma, No. 62

2.
DFT (PBE) results for crystalline Hf6Zr3Sc at its relaxed geometry.

Unit cell a=3.122 b=10.601 c=14.289 alpha=104.27 beta=90.00 gamma=90.00
Atoms (fractional coordinates):
Zr 0.250 0.120 0.569
Zr 0.750 0.880 0.431
Zr 0.750 0.612 0.671
Zr 0.250 0.388 0.329
Zr 0.250 0.106 0.787
Zr 0.750 0.894 0.213
Hf 0.750 0.617 0.464
Hf 0.250 0.876 0.017
Hf 0.250 0.383 0.536
Hf 0.750 0.352 0.731
Hf 0.250 0.137 0.175
Hf 0.250 0.615 0.857
Hf 0.750 0.385 0.143
Hf 0.250 0.846 0.616
Hf 0.750 0.863 0.825
Hf 0.250 0.648 0.269
Hf 0.750 0.154 0.384
Hf 0.750 0.124 0.983
Sc 0.750 0.635 0.063
Sc 0.250 0.365 0.937

Properties
* energy of formation: 0.064 eV/atom
* SG: P2_1/m, No. 11

3.
DFT (PBE) results for crystalline U2Ni7 at its relaxed geometry.

Unit cell a=4.831 b=4.831 c=12.492 alpha=78.85 beta=78.85 gamma=60.00
Atoms (fractional coordinates):
Ni 0.722 0.722 0.834
Ni 0.889 0.389 0.332
Ni 0.389 0.889 0.332
Ni 0.611 0.111 0.668
Ni 0.500 0.000 0.000
Ni 0.000 0.500 0.000
Ni 0.388 0.388 0.835
Ni 0.389 0.389 0.332
Ni 0.500 0.500 0.000
Ni 0.612 0.612 0.165
Ni 0.500 0.500 0.500
Ni 0.278 0.278 0.166
Ni 0.611 0.611 0.668
Ni 0.111 0.611 0.668
U 0.851 0.851 0.446
U 0.049 0.049 0.852
U 0.149 0.149 0.554
U 0.951 0.951 0.148

Properties
* energy of formation: -0.244 eV/atom
* SG: R-3m, No. 166

4.
DFT (PBE) results for crystalline ScCoSb2 at its relaxed geometry.

Unit cell a=4.857 b=4.857 c=4.857 alpha=60.00 beta=60.00 gamma=60.00
Atoms (fractional coordinates):
Co 0.500 0.500 0.500
Sb 0.750 0.750 0.750
Sb 0.250 0.250 0.250
Sc 0.000 0.000 0.000

Properties
* formation energy from raw total energies: -0.20 eV per formula unit
* SG: Fm-3m, No. 225

5.
DFT (PBE) results for crystalline CrSiTcIr at its relaxed geometry.

Unit cell a=4.224 b=4.224 c=4.224 alpha=60.00 beta=60.00 gamma=60.00
Atoms (fractional coordinates):
Si 0.750 0.750 0.750
Ir 0.500 0.500 0.500
Tc 0.000 0.000 0.000
Cr 0.250 0.250 0.250

Properties
* formation energy from raw total energies: -1.60 eV per formula unit
* SG: F-43m, No. 216

6.
DFT (PBE) results for crystalline Tc4Ir3 at its relaxed geometry.

Unit cell a=9.926 b=9.926 c=9.926 alpha=160.93 beta=160.93 gamma=27.10
Atoms (fractional coordinates):
Tc 0.144 0.144 0.000
Tc 0.856 0.856 0.000
Tc 0.570 0.570 0.000
Tc 0.430 0.430 0.000
Ir 0.716 0.716 0.000
Ir 0.000 0.000 0.000
Ir 0.284 0.284 0.000

Properties
* energy of formation: 0.262 eV/atom
* distance to the lowest polymorph of the same formula: 98 meV/atom
* SG: I4/mmm, No. 139

7.
DFT (PBE) results for crystalline BeIr2Se at its relaxed geometry.

Unit cell a=4.740 b=5.093 c=2.854 alpha=73.44 beta=90.59 gamma=117.92
Atoms (fractional coordinates):
Be 0.500 0.500 0.000
Ir 0.500 0.000 0.500
Ir 0.000 0.000 0.000
Se 0.000 0.500 0.500

Properties
* distance to the lowest polymorph of the same formula: 311 meV/atom
* formation energy from raw total energies: 1.38 eV per formula unit
* SG: C2/m, No. 12

8.
DFT (PBE) results for crystalline Ba3SbPd8 at its relaxed geometry.

Unit cell a=5.780 b=5.780 c=9.750 alpha=72.76 beta=72.76 gamma=60.00
Atoms (fractional coordinates):
Pd 0.691 0.691 0.928
Pd 0.435 0.943 0.678
Pd 0.192 0.192 0.423
Pd 0.943 0.435 0.678
Pd 0.940 0.440 0.180
Pd 0.440 0.440 0.180
Pd 0.943 0.943 0.678
Pd 0.440 0.940 0.180
Ba 0.378 0.378 0.867
Ba 0.509 0.509 0.472
Ba 0.987 0.987 0.038
Sb 0.850 0.850 0.449

Properties
* formation energy from raw total energies: -5.51 eV per formula unit
* SG: R3m, No. 160

9.
DFT (PBE) results for crystalline Ta3TiGa4 at its relaxed geometry.

Unit cell a=5.616 b=5.732 c=8.254 alpha=90.00 beta=90.00 gamma=90.00
Atoms (fractional coordinates):
Ga 0.815 0.500 0.500
Ga 0.814 0.000 0.500
Ga 0.064 0.251 0.250
Ga 0.314 0.000 0.000
Ga 0.564 0.749 0.750
Ga 0.315 0.500 0.000
Ga 0.564 0.749 0.250
Ga 0.064 0.251 0.750
Ti 0.314 0.500 0.500
Ti 0.814 0.500 0.000
Ta 0.314 0.000 0.500
Ta 0.064 0.748 0.250
Ta 0.814 0.000 0.000
Ta 0.064 0.748 0.750
Ta 0.564 0.252 0.250
Ta 0.564 0.252 0.750

Properties
* energy of formation: -0.160 eV/atom
* SG: Pmna, No. 53

10.
DFT (PBE) results for crystalline La2PmDy8 at its relaxed geometry.

Unit cell a=5.578 b=8.177 c=9.441 alpha=115.66 beta=107.18 gamma=90.00
Atoms (fractional coordinates):
Dy 0.364 0.571 0.729
Dy 0.000 0.707 0.000
Dy 0.636 0.843 0.271
Dy 0.841 0.841 0.681
Dy 0.636 0.429 0.271
Dy 0.000 0.293 0.000
Dy 0.364 0.157 0.729
Dy 0.159 0.159 0.319
La 0.799 0.299 0.598
La 0.201 0.701 0.402
Pm 0.500 0.000 0.000

Properties
* energy of formation: 0.118 eV/atom
* distance to the lowest polymorph of the same formula: 0 meV/atom
* SG: Immm, No. 71

11.
DFT (PBE) results for crystalline In2CoS2 at its relaxed geometry.

Unit cell a=7.235 b=7.235 c=3.933 alpha=90.00 beta=90.00 gamma=90.00
Atoms (fractional coordinates):
Co 0.000 0.000 0.000
Co 0.500 0.500 0.000
S 0.307 0.193 0.500
S 0.807 0.307 0.500
S 0.693 0.807 0.500
S 0.193 0.693 0.500
In 0.140 0.360 0.000
In 0.860 0.640 0.000
In 0.360 0.860 0.000
In 0.640 0.140 0.000

Properties
* distance to the lowest polymorph of the same formula: 15 meV/atom
* formation energy from raw total energies: 1.84 eV per formula unit
* SG: P4/mbm, No. 127

12.
DFT (PBE) results for crystalline NdDy3Sc4 at its relaxed geometry.

Unit cell a=6.012 b=6.996 c=10.846 alpha=90.00 beta=90.00 gamma=90.00
Atoms (fractional coordinates):
Dy 0.487 0.364 0.250
Dy 0.640 0.635 0.000
Dy 0.987 0.636 0.250
Dy 0.487 0.364 0.750
Dy 0.987 0.636 0.750
Dy 0.140 0.365 0.500
Nd 0.142 0.366 0.000
Nd 0.642 0.634 0.500
Sc 0.151 0.885 0.000
Sc 0.478 0.885 0.752
Sc 0.478 0.885 0.248
Sc 0.151 0.886 0.500
Sc 0.651 0.114 0.000
Sc 0.978 0.115 0.748
Sc 0.651 0.115 0.500
Sc 0.978 0.115 0.252

Properties
* energy of formation: 0.039 eV/atom
* SG: Pmn2_1, No. 31

| no. | calculated total energy (eV/cell) |
| --- | --- |
| 1 | -44.56 |
| 2 | -182.11 |
| 3 | -130.49 |
| 4 | -21.88 |
| 5 | -35.88 |
| 6 | -66.22 |
| 7 | -23.55 |
| 8 | -56.94 |
| 9 | -113.68 |
| 10 | -50.12 |
| 11 | -38.00 |
| 12 | -87.18 |